4
Lattice="4.764 2.751 0.978 -4.764 2.751 0.978 0.000 -5.501 0.978" Properties=species:S:1:pos:R:3 comment="GGA-PBE InAu3, relaxed" total_magnetization_mub_per_atom=0.000 final_energy_ev_per_atom=-3.163 pbc="T T T"
In 0.000 0.000 0.000
Au -2.382 -1.375 0.978
Au -2.382 1.375 1.956
Au 0.000 2.751 0.978